Entry 1:
HfCu2Au2 | PBE | optimized geometry Values from VASP.

Geometry as Quantum ESPRESSO input:
```
&SYSTEM
  ibrav = 0, nat = 10, ntyp = 3
/
ATOMIC_SPECIES
Hf 178.49 Hf.upf
Cu 63.55 Cu.upf
Au 196.97 Au.upf
CELL_PARAMETERS angstrom
7.367 0.000 0.000
0.000 7.367 0.000
0.000 0.000 2.999
ATOMIC_POSITIONS crystal
Hf 0.000 0.000 0.000
Hf 0.500 0.500 0.000
Cu 0.118 0.382 0.000
Cu 0.382 0.882 0.000
Cu 0.618 0.118 0.000
Cu 0.882 0.618 0.000
Au 0.180 0.680 0.500
Au 0.320 0.180 0.500
Au 0.680 0.820 0.500
Au 0.820 0.320 0.500
```

Summary:
- Distance to the lowest polymorph of the same formula: 11.9 kJ per mole of atoms
- Magnetic moment: 0.00 Bohr magnetons per cell
- Uncorrected energy: -50.90 eV for the cell shown
- Crystal system: tetragonal
- Space group: P4/mbm, No. 127

Entry 2:
Hf3Cu2Au4 | PBE | optimized geometry Values from VASP.

Geometry as Quantum ESPRESSO input:
```
&SYSTEM
  ibrav = 0, nat = 18, ntyp = 3
/
ATOMIC_SPECIES
Hf 178.49 Hf.upf
Cu 63.55 Cu.upf
Au 196.97 Au.upf
CELL_PARAMETERS angstrom
6.544 -5.193 0.000
6.544 5.193 0.000
-0.912 0.000 4.792
ATOMIC_POSITIONS crystal
Hf 0.119 0.881 0.750
Hf 0.202 0.459 0.911
Hf 0.459 0.202 0.411
Hf 0.541 0.798 0.589
Hf 0.798 0.541 0.089
Hf 0.881 0.119 0.250
Cu 0.021 0.772 0.198
Cu 0.228 0.979 0.302
Cu 0.772 0.021 0.698
Cu 0.979 0.228 0.802
Au 0.099 0.331 0.350
Au 0.310 0.576 0.469
Au 0.331 0.099 0.850
Au 0.424 0.690 0.031
Au 0.576 0.310 0.969
Au 0.669 0.901 0.150
Au 0.690 0.424 0.531
Au 0.901 0.669 0.650
```

Summary:
- Magnetic moment: 0.00 Bohr magnetons per cell
- Uncorrected energy: -108.63 eV for the cell shown
- Crystal system: monoclinic
- Space group: C2/c, No. 15

| no. | energy relative to the elements (eV/atom) |
| --- | --- |
| 1 | -0.150 |
| 2 | -0.350 |